# 1
Material: Na2CdAu2
Method: DFT, meta-GGA SCAN
State: single point on PBEsol structure

Computed properties:
relative energy among the computed polymorphs	0.0000	eV per atom
density of states at the Fermi level	3.02	states/eV per cell
ΔE_f	-351	meV/atom
space-group type	P4/mbm (127)

Lattice parameters (Å, degrees): 4.3064 7.1562 7.1562 90.00 90.00 90.00
Last column: nearest neighbours and their distance in Å.
Atoms (fractional coordinates):
Cd  0.0000  0.0000  0.0000  4 Au 2.78
Cd  0.0000  0.5000  0.5000  4 Au 2.78
Au  0.0000  0.8648  0.6352  1 Au 2.74, 2 Cd 2.78, 6 Na 2.95-3.05
Au  0.0000  0.3648  0.8648  1 Au 2.74, 2 Cd 2.78, 6 Na 2.95-3.05
Au  0.0000  0.6352  0.1352  1 Au 2.74, 2 Cd 2.78, 6 Na 2.95-3.05
Au  0.0000  0.1352  0.3648  1 Au 2.74, 2 Cd 2.78, 6 Na 2.95-3.05
Na  0.5000  0.3344  0.1656  6 Au 2.95-3.05
Na  0.5000  0.1656  0.6656  6 Au 2.95-3.05
Na  0.5000  0.6656  0.8344  6 Au 2.95-3.05
Na  0.5000  0.8344  0.3344  6 Au 2.95-3.05

---

# 2
Material: NaCd2Au2
Method: DFT, meta-GGA SCAN
State: single point on PBEsol structure

Computed properties:
relative energy among the computed polymorphs	0.0000	eV per atom
density of states at the Fermi level	2.72	states/eV per cell
ΔE_f	-311	meV/atom
space-group type	P4/mbm (127)

Lattice parameters (Å, degrees): 3.0424 8.1121 8.1121 90.00 90.00 90.00
Last column: nearest neighbours and their distance in Å.
Atoms (fractional coordinates):
Cd  0.5000  0.8364  0.3364  6 Au 2.78-2.86, 2 Cd 3.04
Cd  0.5000  0.1636  0.6636  6 Au 2.78-2.86, 2 Cd 3.04
Cd  0.5000  0.3364  0.1636  6 Au 2.78-2.86, 2 Cd 3.04
Cd  0.5000  0.6636  0.8364  6 Au 2.78-2.86, 2 Cd 3.04
Na  0.0000  0.5000  0.5000  2 Na 3.04, 4 Au 3.16, 8 Cd 3.39
Na  0.0000  0.0000  0.0000  2 Na 3.04, 4 Au 3.16, 8 Cd 3.39
Au  0.0000  0.6336  0.1336  6 Cd 2.78-2.86, 3 Au 3.04-3.06
Au  0.0000  0.3664  0.8664  6 Cd 2.78-2.86, 3 Au 3.04-3.06
Au  0.0000  0.8664  0.6336  6 Cd 2.78-2.86, 3 Au 3.04-3.06
Au  0.0000  0.1336  0.3664  6 Cd 2.78-2.86, 3 Au 3.04-3.06

---

# 3
Material: NaCd2Au
Method: DFT, meta-GGA SCAN
State: single point on PBEsol structure

Computed properties:
density of states at the Fermi level	0.93	states/eV per cell
ΔE_f	-270	meV/atom
space-group type	Fm-3m (225)

Lattice parameters (Å, degrees): 4.7782 4.7782 4.7782 60.00 60.00 60.00
Last column: nearest neighbours and their distance in Å.
Atoms (fractional coordinates):
Na  0.0000  0.0000  0.0000  8 Cd 2.93
Cd  0.7500  0.7500  0.7500  4 Na 2.93, 4 Au 2.93
Cd  0.2500  0.2500  0.2500  4 Na 2.93, 4 Au 2.93
Au  0.5000  0.5000  0.5000  8 Cd 2.93

---

# 4
Material: Na2CdAu2
Method: DFT, meta-GGA SCAN
State: single point on PBEsol structure

Computed properties:
relative energy among the computed polymorphs	0.2152	eV per atom
density of states at the Fermi level	1.41	states/eV per cell
ΔE_f	-136	meV/atom
space-group type	I4/mmm (139)

Lattice parameters (Å, degrees): 3.9732 3.9732 7.4058 105.56 105.56 90.00
Last column: nearest neighbours and their distance in Å.
Atoms (fractional coordinates):
Au  0.5960  0.5960  0.1919  1 Au 2.63, 4 Na 2.90
Au  0.4040  0.4040  0.8081  1 Au 2.63, 4 Na 2.90
Cd  0.0000  0.0000  0.0000  8 Au 3.10
Na  0.7500  0.2500  0.5000  4 Na 2.81, 4 Au 2.90
Na  0.2500  0.7500  0.5000  4 Na 2.81, 4 Au 2.90

---

# 5
Material: NaCd2Au2
Method: DFT, meta-GGA SCAN
State: single point on PBEsol structure

Computed properties:
relative energy among the computed polymorphs	0.0181	eV per atom
density of states at the Fermi level	1.54	states/eV per cell
ΔE_f	-293	meV/atom
space-group type	I4/mmm (139)

Lattice parameters (Å, degrees): 4.1875 4.1875 6.9970 107.41 107.41 90.00
Last column: nearest neighbours and their distance in Å.
Atoms (fractional coordinates):
Na  0.0000  0.0000  0.0000  8 Au 3.24
Cd  0.2500  0.7500  0.5000  4 Au 2.80, 4 Cd 2.96
Cd  0.7500  0.2500  0.5000  4 Au 2.80, 4 Cd 2.96
Au  0.6034  0.6034  0.2069  1 Au 2.62, 4 Cd 2.80
Au  0.3966  0.3966  0.7931  1 Au 2.62, 4 Cd 2.80

---

# 6
Material: NaCd2PAu
Method: DFT, meta-GGA SCAN
State: single point on PBEsol structure

Computed properties:
density of states at the Fermi level	2.33	states/eV per cell
ΔE_f	178	meV/atom
space-group type	P4/mmm (123)

Lattice parameters (Å, degrees): 4.9017 5.1741 5.1741 90.00 90.00 90.00
Last column: nearest neighbours and their distance in Å.
Atoms (fractional coordinates):
P  0.5000  0.0000  0.0000  2 Au 2.45
Cd  0.0000  0.0000  0.5000  2 Au 2.59
Cd  0.0000  0.5000  0.0000  2 Au 2.59
Na  0.5000  0.5000  0.5000  8 Cd 3.56, 4 P 3.66
Au  0.0000  0.0000  0.0000  2 P 2.45, 4 Cd 2.59

---

> What is the formula in the sixth record?

NaCd2PAu

---

> ΔE_f of number 2 (NaCd2Au2)?

-311 meV/atom

---

Please write out number 4 again, unchanged.
Material: Na2CdAu2
Method: DFT, meta-GGA SCAN
State: single point on PBEsol structure

Computed properties:
relative energy among the computed polymorphs	0.2152	eV per atom
density of states at the Fermi level	1.41	states/eV per cell
ΔE_f	-136	meV/atom
space-group type	I4/mmm (139)

Lattice parameters (Å, degrees): 3.9732 3.9732 7.4058 105.56 105.56 90.00
Last column: nearest neighbours and their distance in Å.
Atoms (fractional coordinates):
Au  0.5960  0.5960  0.1919  1 Au 2.63, 4 Na 2.90
Au  0.4040  0.4040  0.8081  1 Au 2.63, 4 Na 2.90
Cd  0.0000  0.0000  0.0000  8 Au 3.10
Na  0.7500  0.2500  0.5000  4 Na 2.81, 4 Au 2.90
Na  0.2500  0.7500  0.5000  4 Na 2.81, 4 Au 2.90